Record 1
LiTh2Mg4 GGA-PBE relaxed; volume = 26.64 Å³/atom; E_tot = -20.54 eV/cell; energy relative to the elements = 370 meV per atom; crystal system = tetragonal; density = 5.1 Mg/m³
1.0
-2.3849 2.3849 8.1958
2.3849 -2.3849 8.1958
2.3849 2.3849 -8.1958
Li Th Mg
1 2 4
Cartesian
0.0000 0.0000 0.0000
0.0000 0.0000 5.8222
0.0000 0.0000 10.5693
2.3849 0.0000 0.0000
0.0000 0.0000 2.5589
0.0000 2.3849 0.0000
0.0000 0.0000 13.8326

=====

Record 2
LiThMg GGA-PBE relaxed; energy relative to the lowest polymorph listed for this composition = 15 meV/atom; volume = 26.63 Å³/atom; E_tot = -10.58 eV/cell; energy relative to the elements = 117 meV per atom; crystal system = trigonal; density = 5.5 Mg/m³
1.0
3.3215 0.0000 0.0000
-1.6607 2.8765 0.0000
0.0000 0.0000 8.3632
Li Th Mg
1 1 1
Cartesian
0.0000 0.0000 0.0000
1.6607 0.9588 2.9465
0.0000 1.9177 5.8438

=====

Record 3
Li4ThMg GGA-PBE relaxed; volume = 21.44 Å³/atom; E_tot = -15.79 eV/cell; energy relative to the elements = 146 meV per atom; crystal system = cubic; density = 3.7 Mg/m³
1.0
0.0000 4.0065 4.0065
4.0065 0.0000 4.0065
4.0065 4.0065 0.0000
Li Th Mg
4 1 1
Cartesian
3.0178 3.0178 3.0178
4.9951 4.9951 3.0178
4.9951 3.0178 4.9951
3.0178 4.9951 4.9951
0.0000 0.0000 0.0000
6.0097 6.0097 6.0097

=====

Record 4
Li2ThMgTl2 GGA-PBE relaxed; volume = 23.42 Å³/atom; E_tot = -18.63 eV/cell; energy relative to the elements = -175 meV per atom; crystal system = trigonal; density = 8.0 Mg/m³
1.0
4.8200 0.0000 0.0000
-2.4100 4.1742 0.0000
0.0000 0.0000 6.9840
Li Th Mg Tl
2 1 1 2
Cartesian
0.0000 2.7828 1.2816
2.4100 1.3914 5.7023
0.0000 0.0000 3.4920
0.0000 0.0000 0.0000
0.0000 2.7828 5.2146
2.4100 1.3914 1.7694

=====

> Look up the density of the fourth one.

8.0 Mg/m³

=====

> Among the records above, which one has the highest volume?

LiTh2Mg4